Record 1
Material: CrN2O2
Method: DFT, PBE+U
State: relaxed

Energy relative to the lowest polymorph listed for this composition, meV/atom: 376.2
N(E_F), states/eV per atom: 0.81
Energy, eV/atom: -5.38

Cell: 3.7572 3.7572 3.6272 Å, 90.00 90.00 90.00°
Fractional positions:
Cr  0.0000  0.0000  0.0000
O  0.5000  0.5000  0.5000
O  0.0000  0.0000  0.5000
N  0.0000  0.5000  0.0000
N  0.5000  0.0000  0.0000

Record 2
Material: TaTl2WO6
Method: DFT, PBE+U
State: relaxed

N(E_F), states/eV per atom: 0.00
Energy, eV/atom: -7.21

Cell: 5.8097 5.8107 8.1069 Å, 90.00 90.00 90.00°
Fractional positions:
Ta  0.0000  0.7500  0.5000
Ta  0.5000  0.2500  0.0000
Tl  0.5000  0.7500  0.2499
Tl  0.0000  0.2500  0.7499
Tl  0.5000  0.7500  0.7501
Tl  0.0000  0.2500  0.2501
W  0.5000  0.2500  0.5000
W  0.0000  0.7500  0.0000
O  0.5000  0.2500  0.2583
O  0.5000  0.2500  0.7417
O  0.0000  0.7500  0.2417
O  0.0000  0.7500  0.7583
O  0.2446  0.9946  0.5000
O  0.7554  0.9946  0.5000
O  0.2446  0.5054  0.5000
O  0.7554  0.5054  0.5000
O  0.7446  0.4946  0.0000
O  0.2554  0.4946  0.0000
O  0.2554  0.0054  0.0000
O  0.7446  0.0054  0.0000